[1]
A relaxed MnSbPb2 crystal, computed with GGA-PBE.

Structure (extended XYZ):
```
4
Lattice="-4.843 2.168 -3.829 -5.274 -3.678 -1.212 3.834 3.161 4.257" Properties=species:S:1:pos:R:3 pbc="T T T"
Pb -2.976 2.296 -1.018
Pb -0.393 -0.059 -0.196
Sb -4.592 -0.686 -2.288
Mn -3.380 -0.655 0.197
```

Summary:
Energy (eV/atom): -4.9157
E_form (uncorrected) (eV/f.u.): 1.05
Magnetic moment (μB/atom): 0.9339

[2]
A relaxed PrZn2In crystal, computed with GGA-PBE.

Structure (extended XYZ):
```
4
Lattice="-3.749 1.738 0.821 -1.761 -1.988 -3.832 -1.194 -3.753 2.495" Properties=species:S:1:pos:R:3 pbc="T T T"
Zn -0.881 -0.994 -1.916
Zn -0.597 -1.877 1.248
In -1.874 0.869 0.410
Pr -3.352 -2.001 -0.258
```

Summary:
Energy (eV/atom): -2.7913
Magnetic moment (μB/atom): 0.0000
E_form (kJ/mol of formula units): -106